A plane-wave DFT calculation with GGA-PBE was carried out for a relaxed Mg2AlSe crystal.

Output
DOS(E_F)   0.422 states/eV per atom
E above lowest polymorph   229.6 meV per atom
Raw formation energy   -0.167 eV per atom
Total energy   -2.771 eV per atom

a b c (Å): 4.7829 4.7829 3.6136
angles (deg): 90.00 90.00 90.00
Space group P4/mmm (No. 123)
Unique sites:
Mg 0.0000 0.5000 0.0000 [2 per cell]
Al 0.0000 0.0000 0.5000 [1 per cell]
Se 0.5000 0.5000 0.5000 [1 per cell]